DFT (PBE) results for crystalline SbPbAu2 at its relaxed geometry.

Properties
Spin magnetization (μB per atom): 0.0000
Calculated volume (A^3/atom): 23.6
Formation energy without anion corrections (eV/atom): 0.0653
Space group: Imm2, No. 44

a = 6.0653 Å, b = 6.0653 Å, c = 6.0653 Å
α = 147.16°, β = 127.91°, γ = 62.96°
Closest atoms and distances in Å follow each position.
Atoms (fractional coordinates):
Sb  0.0000  0.0000  0.0000  6 Au 2.94-3.20
Pb  0.7124  0.2124  0.5000  6 Au 3.17-3.18, 2 Pb 3.43, 4 Sb 3.43-3.45
Au  0.2307  0.7307  0.5000  2 Au 2.88, 2 Sb 2.94, 4 Pb 3.17
Au  0.4539  0.4539  0.0000  2 Au 2.88, 2 Pb 3.18, 4 Sb 3.20